(1)
DFT (PBE) results for Na3Be2RuO6 after structural relaxation.

Geometry as POSCAR:
```
Na3Be2RuO6
1.0
-0.747 3.613 -3.856
-3.688 -3.753 0.891
-2.763 3.656 3.960
Na Be Ru O
3 2 1 6
Direct
0.333 0.667 0.731
0.667 0.333 0.269
0.000 0.000 0.000
0.667 0.333 0.701
0.333 0.667 0.299
0.000 0.000 0.500
0.663 0.832 0.299
0.168 0.337 0.299
0.168 0.832 0.299
0.832 0.663 0.701
0.337 0.168 0.701
0.832 0.168 0.701
```

Calculated values
Crystal system ... trigonal
E_form (uncorrected) ... -1.661 eV/atom
ρ ... 3.2 Mg/m³
Symmetry ... P-3m1, No. 164
Spin magnetization ... 3.01 μB/f.u.
Total DFT energy (no corrections) ... -5.864 eV per atom

=====

(2)
DFT (PBE) results for Na3BeRu3O8 after structural relaxation.

Geometry as POSCAR:
```
Na3BeRu3O8
1.0
-2.844 5.183 -0.233
-2.274 -4.746 -2.689
-0.290 0.133 6.495
Na Be Ru O
3 1 3 8
Direct
0.000 0.000 0.000
0.000 0.500 0.000
0.500 0.500 0.000
0.000 0.000 0.500
0.500 0.000 0.500
0.500 0.500 0.500
0.000 0.500 0.500
0.261 0.523 0.284
0.739 0.477 0.716
0.783 0.566 0.313
0.217 0.434 0.687
0.782 0.031 0.313
0.218 0.969 0.687
0.249 0.031 0.313
0.751 0.969 0.687
```

Calculated values
Crystal system ... monoclinic
E_form (uncorrected) ... -1.267 eV/atom
ρ ... 5.0 Mg/m³
Symmetry ... C2/m, No. 12
Spin magnetization ... 5.01 μB/f.u.
Total DFT energy (no corrections) ... -6.278 eV per atom

=====

(3)
DFT (PBE) results for Na5BeSO2 after structural relaxation.

Geometry as POSCAR:
```
Na5BeSO2
1.0
-4.549 0.808 -0.402
-0.443 -3.797 -2.626
-1.311 -4.227 6.333
Na Be S O
5 1 1 2
Direct
0.000 0.000 0.500
0.000 0.500 0.757
0.500 0.000 0.243
0.000 0.500 0.243
0.500 0.000 0.757
0.000 0.000 0.000
0.500 0.500 0.500
0.000 0.000 0.189
0.000 0.000 0.811
```

Calculated values
Crystal system ... tetragonal
E_form (uncorrected) ... -1.304 eV/atom
ρ ... 1.9 Mg/m³
Symmetry ... P4/mmm, No. 123
Spin magnetization ... 0.00 μB/f.u.
Total DFT energy (no corrections) ... -4.011 eV per atom

=====

(4)
DFT (PBE) results for Na2BeSO6 after structural relaxation.

Geometry as POSCAR:
```
Na2BeSO6
1.0
4.564 0.000 0.000
0.000 5.388 0.000
0.000 -2.694 4.666
Na Be S O
2 1 1 6
Direct
0.174 0.333 0.667
0.826 0.667 0.333
0.500 0.000 0.000
0.000 0.000 0.000
0.780 0.140 0.281
0.780 0.140 0.860
0.780 0.719 0.860
0.220 0.860 0.140
0.220 0.281 0.140
0.220 0.860 0.719
```

Calculated values
Crystal system ... trigonal
E_form (uncorrected) ... -1.190 eV/atom
ρ ... 2.6 Mg/m³
Symmetry ... P-3m1, No. 164
Spin magnetization ... 1.96 μB/f.u.
Total DFT energy (no corrections) ... -5.214 eV per atom

=====

(5)
DFT (PBE) results for NaBeSbO4 after structural relaxation.

Geometry as POSCAR:
```
NaBeSbO4
1.0
-0.724 -4.866 -1.483
4.845 -1.116 1.297
-3.184 2.110 3.533
Na Be Sb O
1 1 1 4
Direct
0.000 0.000 0.000
0.250 0.750 0.500
0.500 0.500 0.000
0.209 0.090 0.727
0.363 0.791 0.273
0.518 0.637 0.727
0.910 0.482 0.273
```

Calculated values
Crystal system ... tetragonal
E_form (uncorrected) ... -1.813 eV/atom
ρ ... 3.7 Mg/m³
Symmetry ... I-4, No. 82
Spin magnetization ... 0.00 μB/f.u.
Total DFT energy (no corrections) ... -5.956 eV per atom

=====

(6)
DFT (PBE) results for NaBe4Sb3O12 after structural relaxation.

Geometry as POSCAR:
```
NaBe4Sb3O12
1.0
-5.091 2.943 -2.472
-1.192 -0.461 6.250
4.777 4.198 -0.498
Na Be Sb O
1 4 3 12
Direct
0.000 0.000 0.000
0.940 0.060 0.500
0.060 0.500 0.940
0.500 0.940 0.060
0.500 0.500 0.500
0.550 0.450 0.000
0.450 0.000 0.550
0.000 0.550 0.450
0.500 0.347 0.653
0.902 0.500 0.098
0.098 0.902 0.500
0.500 0.098 0.902
0.371 0.978 0.230
0.230 0.371 0.978
0.978 0.230 0.371
0.629 0.770 0.022
0.022 0.629 0.770
0.770 0.022 0.629
0.653 0.500 0.347
0.347 0.653 0.500
```

Calculated values
Crystal system ... trigonal
E_form (uncorrected) ... -1.905 eV/atom
ρ ... 4.5 Mg/m³
Symmetry ... R32, No. 155
Spin magnetization ... 0.00 μB/f.u.
Total DFT energy (no corrections) ... -6.310 eV per atom

=====

(7)
DFT (PBE) results for Na2ScBe2O4 after structural relaxation.

Geometry as POSCAR:
```
Na2ScBe2O4
1.0
2.921 0.000 0.000
0.000 8.637 -1.909
-1.460 -5.063 5.472
Na Sc Be O
2 1 2 4
Direct
0.063 0.437 0.126
0.937 0.563 0.874
0.000 0.000 0.000
0.714 0.040 0.429
0.286 0.960 0.571
0.318 0.194 0.636
0.682 0.806 0.364
0.559 0.930 0.119
0.441 0.070 0.881
```

Calculated values
Crystal system ... monoclinic
E_form (uncorrected) ... -2.275 eV/atom
ρ ... 2.6 Mg/m³
Symmetry ... C2/m, No. 12
Spin magnetization ... 0.00 μB/f.u.
Total DFT energy (no corrections) ... -6.303 eV per atom

=====

(8)
DFT (PBE) results for NaScBeO3 after structural relaxation.

Geometry as POSCAR:
```
NaScBeO3
1.0
-0.478 3.061 0.195
-5.654 -1.094 3.318
4.994 0.449 5.193
Na Sc Be O
2 2 2 6
Direct
0.250 0.177 0.192
0.750 0.823 0.808
0.250 0.657 0.158
0.750 0.343 0.842
0.250 0.074 0.602
0.750 0.926 0.398
0.750 0.880 0.172
0.250 0.120 0.828
0.250 0.842 0.461
0.750 0.158 0.539
0.750 0.440 0.141
0.250 0.560 0.859
```

Calculated values
Crystal system ... monoclinic
E_form (uncorrected) ... -2.702 eV/atom
ρ ... 2.9 Mg/m³
Symmetry ... P2_1/m, No. 11
Spin magnetization ... 0.00 μB/f.u.
Total DFT energy (no corrections) ... -7.077 eV per atom

=====

(9)
DFT (PBE) results for NaBeSe2O6 after structural relaxation.

Geometry as POSCAR:
```
NaBeSe2O6
1.0
-2.910 -2.535 -6.548
-5.682 -4.003 0.120
-5.015 3.650 -3.140
Na Be Se O
2 2 4 12
Direct
0.250 0.812 0.188
0.750 0.188 0.812
0.250 0.203 0.797
0.750 0.797 0.203
0.390 0.734 0.670
0.110 0.330 0.266
0.610 0.266 0.330
0.890 0.670 0.734
0.228 0.974 0.807
0.272 0.193 0.026
0.772 0.026 0.193
0.728 0.807 0.974
0.510 0.802 0.393
0.990 0.607 0.198
0.490 0.198 0.607
0.010 0.393 0.802
0.097 0.760 0.596
0.403 0.404 0.240
0.903 0.240 0.404
0.597 0.596 0.760
```

Calculated values
Crystal system ... monoclinic
E_form (uncorrected) ... -1.241 eV/atom
ρ ... 3.4 Mg/m³
Symmetry ... C2/c, No. 15
Spin magnetization ... 0.00 μB/f.u.
Total DFT energy (no corrections) ... -5.417 eV per atom

=====

(10)
DFT (PBE) results for NaBeSeO4 after structural relaxation.

Geometry as POSCAR:
```
NaBeSeO4
1.0
5.076 0.000 0.000
0.000 5.076 0.000
-2.538 -2.538 3.634
Na Be Se O
1 1 1 4
Direct
0.000 0.000 0.000
0.250 0.750 0.500
0.500 0.500 0.000
0.219 0.103 0.734
0.369 0.781 0.266
0.515 0.631 0.734
0.897 0.485 0.266
```

Calculated values
Crystal system ... tetragonal
E_form (uncorrected) ... -1.367 eV/atom
ρ ... 3.1 Mg/m³
Symmetry ... I-4, No. 82
Spin magnetization ... 1.00 μB/f.u.
Total DFT energy (no corrections) ... -5.419 eV per atom

=====

(11)
DFT (PBE) results for Na2Be2SeO6 after structural relaxation.

Geometry as POSCAR:
```
Na2Be2SeO6
1.0
-2.945 -1.515 3.936
2.059 -2.705 3.861
0.795 3.022 5.120
Na Be Se O
2 2 1 6
Direct
0.798 0.798 0.606
0.202 0.202 0.394
0.394 0.394 0.818
0.606 0.606 0.182
0.000 0.000 0.000
0.768 0.768 0.212
0.252 0.768 0.212
0.768 0.252 0.212
0.232 0.748 0.788
0.748 0.232 0.788
0.232 0.232 0.788
```

Calculated values
Crystal system ... trigonal
E_form (uncorrected) ... -1.560 eV/atom
ρ ... 3.3 Mg/m³
Symmetry ... R-3m, No. 166
Spin magnetization ... 0.00 μB/f.u.
Total DFT energy (no corrections) ... -5.499 eV per atom

=====

(12)
DFT (PBE) results for NaBe4Se3O12 after structural relaxation.

Geometry as POSCAR:
```
NaBe4Se3O12
1.0
6.282 -0.035 -0.049
-1.548 6.089 -0.049
-1.548 -1.979 5.758
Na Be Se O
1 4 3 12
Direct
0.000 0.000 0.000
0.937 0.063 0.500
0.063 0.500 0.937
0.500 0.937 0.063
0.500 0.500 0.500
0.550 0.450 0.000
0.450 0.000 0.550
0.000 0.550 0.450
0.500 0.343 0.657
0.907 0.500 0.093
0.093 0.907 0.500
0.500 0.093 0.907
0.381 0.983 0.250
0.250 0.381 0.983
0.983 0.250 0.381
0.619 0.750 0.017
0.017 0.619 0.750
0.750 0.017 0.619
0.657 0.500 0.343
0.343 0.657 0.500
```

Calculated values
Crystal system ... trigonal
E_form (uncorrected) ... -1.311 eV/atom
ρ ... 3.7 Mg/m³
Symmetry ... R32, No. 155
Spin magnetization ... 0.00 μB/f.u.
Total DFT energy (no corrections) ... -5.620 eV per atom

=====

(13)
DFT (PBE) results for NaBeSi2O6 after structural relaxation.

Geometry as POSCAR:
```
NaBeSi2O6
1.0
5.406 0.297 0.308
2.099 7.263 -0.374
2.099 -0.643 7.244
Na Be Si O
2 2 4 12
Direct
0.250 0.785 0.215
0.750 0.215 0.785
0.250 0.248 0.752
0.750 0.752 0.248
0.340 0.821 0.654
0.160 0.346 0.179
0.660 0.179 0.346
0.840 0.654 0.821
0.204 0.049 0.722
0.296 0.278 0.951
0.796 0.951 0.278
0.704 0.722 0.049
0.473 0.769 0.424
0.027 0.576 0.231
0.527 0.231 0.576
0.973 0.424 0.769
0.076 0.747 0.726
0.424 0.274 0.253
0.924 0.253 0.274
0.576 0.726 0.747
```

Calculated values
Crystal system ... monoclinic
E_form (uncorrected) ... -2.413 eV/atom
ρ ... 2.2 Mg/m³
Symmetry ... C2/c, No. 15
Spin magnetization ... 1.04 μB/f.u.
Total DFT energy (no corrections) ... -6.977 eV per atom

=====

(14)
DFT (PBE) results for Na2BeSi2O6 after structural relaxation.

Geometry as POSCAR:
```
Na2BeSi2O6
1.0
-0.958 -0.959 -6.982
-10.708 -2.931 -1.750
-3.212 10.154 -4.576
Na Be Si O
12 6 12 36
Direct
0.809 0.000 0.381
0.532 0.339 0.627
0.191 0.000 0.619
0.218 0.161 0.873
0.941 0.500 0.119
0.909 0.839 0.873
0.559 0.500 0.881
0.252 0.839 0.127
0.498 0.661 0.373
0.841 0.661 0.627
0.621 0.161 0.127
0.129 0.339 0.373
0.067 0.865 0.500
0.317 0.365 0.000
0.683 0.635 0.000
0.750 0.500 0.500
0.433 0.135 0.500
0.000 0.000 0.000
0.344 0.000 0.313
0.027 0.319 0.648
0.425 0.819 0.852
0.656 0.000 0.687
0.406 0.500 0.187
0.994 0.681 0.352
0.094 0.500 0.813
0.325 0.681 0.648
0.756 0.819 0.148
0.655 0.319 0.352
0.095 0.181 0.148
0.723 0.181 0.852
0.280 0.458 0.113
0.590 0.218 0.452
0.276 0.124 0.221
0.530 0.571 0.591
0.490 0.718 0.952
0.870 0.071 0.909
0.150 0.376 0.721
0.600 0.124 0.779
0.489 0.042 0.613
0.875 0.250 0.750
0.900 0.571 0.409
0.793 0.718 0.048
0.261 0.458 0.887
0.160 0.282 0.048
0.558 0.282 0.952
0.957 0.782 0.452
0.606 0.542 0.113
0.880 0.429 0.591
0.144 0.958 0.387
0.850 0.929 0.091
0.192 0.218 0.548
0.470 0.042 0.387
0.059 0.071 0.091
0.474 0.376 0.279
0.875 0.750 0.250
0.502 0.876 0.221
0.852 0.542 0.887
0.220 0.929 0.909
0.622 0.876 0.779
0.898 0.958 0.613
0.248 0.624 0.279
0.691 0.429 0.409
0.875 0.250 0.250
0.128 0.624 0.721
0.375 0.750 0.750
0.260 0.782 0.548
```

Calculated values
Crystal system ... orthorhombic
E_form (uncorrected) ... -2.536 eV/atom
ρ ... 2.5 Mg/m³
Symmetry ... Fddd, No. 70
Spin magnetization ... 0.00 μB/f.u.
Total DFT energy (no corrections) ... -6.805 eV per atom

=====

(15)
DFT (PBE) results for Na2BeSi2O6 after structural relaxation.

Geometry as POSCAR:
```
Na2BeSi2O6
1.0
6.939 0.000 0.000
3.469 10.682 0.000
3.469 0.000 10.686
Na Be Si O
12 6 12 36
Direct
0.551 0.348 0.561
0.003 0.185 0.329
0.989 0.500 0.023
0.610 0.000 0.781
0.233 0.685 0.829
0.668 0.815 0.329
0.290 0.848 0.061
0.938 0.315 0.829
0.888 0.652 0.561
0.360 0.500 0.280
0.239 0.000 0.523
0.649 0.152 0.061
0.078 0.664 0.152
0.770 0.336 0.152
0.857 0.164 0.652
0.492 0.836 0.652
0.385 0.000 0.229
0.135 0.500 0.729
0.177 0.134 0.024
0.714 0.699 0.850
0.090 0.000 0.820
0.436 0.301 0.850
0.061 0.366 0.524
0.415 0.634 0.524
0.163 0.801 0.350
0.500 0.500 0.000
0.798 0.866 0.024
0.750 0.000 0.500
0.486 0.199 0.350
0.840 0.500 0.320
0.927 0.267 0.544
0.529 0.733 0.544
0.868 0.971 0.914
0.997 0.471 0.414
0.313 0.891 0.325
0.213 0.700 0.465
0.954 0.609 0.825
0.217 0.029 0.914
0.254 0.537 0.080
0.221 0.391 0.825
0.012 0.767 0.044
0.330 0.554 0.646
0.362 0.109 0.325
0.541 0.963 0.580
0.589 0.529 0.414
0.634 0.946 0.146
0.192 0.721 0.231
0.888 0.377 0.240
0.663 0.800 0.965
0.024 0.446 0.646
0.014 0.123 0.740
0.872 0.623 0.240
0.666 0.463 0.080
0.322 0.300 0.465
0.879 0.037 0.580
0.220 0.054 0.146
0.687 0.122 0.407
0.372 0.200 0.965
0.245 0.877 0.740
0.606 0.221 0.731
0.944 0.233 0.044
0.907 0.878 0.407
0.558 0.378 0.907
0.662 0.779 0.731
0.577 0.279 0.231
0.535 0.622 0.907
```

Calculated values
Crystal system ... orthorhombic
E_form (uncorrected) ... -2.586 eV/atom
ρ ... 2.6 Mg/m³
Symmetry ... Fdd2, No. 43
Spin magnetization ... 0.00 μB/f.u.
Total DFT energy (no corrections) ... -6.855 eV per atom